Entry 1:
Entry from the Open Quantum Materials Database: an optimized crystal structure of BMoAs (PBE-GGA).

Cell and atoms, written as extended XYZ:
```
12
Lattice="5.4642 0.0000 0.0000 0.0000 5.4642 0.0000 0.0000 0.0000 5.4642" Properties=species:S:1:pos:R:3 pbc="T T T"
B 0.0000 0.0000 0.0000
B 0.0000 2.7321 2.7321
B 2.7321 0.0000 2.7321
B 2.7321 2.7321 0.0000
Mo 1.3661 1.3661 1.3661
Mo 1.3661 4.0982 4.0982
Mo 4.0982 1.3661 4.0982
Mo 4.0982 4.0982 1.3661
As 1.3661 1.3661 4.0982
As 1.3661 4.0982 1.3661
As 4.0982 1.3661 1.3661
As 4.0982 4.0982 4.0982
```

Computed properties:
- raw total energy (eV per cell) = -79.97

Entry 2:
Entry from the Open Quantum Materials Database: an optimized crystal structure of ErLuPO (PBE-GGA).

Cell and atoms, written as extended XYZ:
```
8
Lattice="4.0931 0.0000 0.0000 0.0000 7.3029 0.0000 0.0000 0.0000 5.6467" Properties=species:S:1:pos:R:3 pbc="T T T"
Er 0.0000 1.5048 0.0000
Er 0.0000 5.7981 2.8234
Lu 2.0466 2.7708 3.1767
Lu 2.0466 4.5322 0.3534
P 0.0000 1.1953 2.7856
P 0.0000 6.1077 5.6089
O 2.0466 2.4345 5.3182
O 2.0466 4.8684 2.4948
```

Computed properties:
- raw total energy (eV per cell) = -55.13
- relative energy among the computed polymorphs (eV per atom) = 0.000

Entry 3:
Entry from the Open Quantum Materials Database: an optimized crystal structure of TmAuSeO (PBE-GGA).

Cell and atoms, written as extended XYZ:
```
16
Lattice="5.6601 0.0000 0.0000 0.0000 5.6529 0.0000 -0.4070 0.0000 10.9861" Properties=species:S:1:pos:R:3 pbc="T T T"
Tm -0.0065 0.0000 0.9974
Tm 2.4230 0.0105 9.9782
Tm 2.8301 2.8370 1.0079
Tm 5.2596 2.8265 9.9887
Au -0.2793 0.1327 8.0183
Au 1.5862 1.5650 5.5299
Au 3.6669 4.3914 5.4562
Au 5.5324 2.9592 2.9677
Se 1.6030 1.2500 3.1161
Se 1.4631 1.8491 7.9479
Se 3.7900 4.6756 3.0382
Se 3.6501 4.0765 7.8700
O 1.4111 1.4122 0.0212
O 1.0168 4.2404 10.9831
O 4.2363 1.4140 0.0030
O 3.8420 4.2387 10.9649
```

Computed properties:
- raw total energy (eV per cell) = -95.60
- relative energy among the computed polymorphs (eV per atom) = 0.000

| no. | density (g cm⁻³) |
| --- | --- |
| 1 | 7.40 |
| 2 | 7.66 |
| 3 | 8.71 |